DFT (GGA-PBE) results for an optimized crystal structure of BaNiMo.

Unit cell a=3.8988 b=4.5574 c=10.7087 alpha=100.59 beta=90.15 gamma=115.30
Positions (direct):
Ba1 0.0000 0.0000 0.0000
Ba2 0.3630 0.7331 0.3860
Ni1 0.0824 0.1707 0.5662
Ni2 0.5264 0.0570 0.7197
Mo1 0.2410 0.4863 0.7796
Mo2 0.8142 0.6332 0.6537

- ΔH_f (0 K) (eV/f.u.) = 1.1
- E_tot (eV per formula unit) = -17.5
- offset from the most stable computed form (meV per atom) = 43.4
- Fermi-level density of states (states/eV per atom) = 1.138
- total magnetic moment (μB per formula unit) = 0.0


DFT (GGA-PBE) results for an optimized crystal structure of Ba2NiMo.

Unit cell a=6.3737 b=6.3737 c=6.3737 alpha=136.69 beta=136.69 gamma=62.91
Positions (direct):
Ba1 0.0000 0.0000 0.0000
Ba2 0.7500 0.2500 0.5000
Ni1 0.5000 0.5000 0.0000
Mo1 0.2500 0.7500 0.5000

- ΔH_f (0 K) (eV/f.u.) = 4.4
- E_tot (eV per formula unit) = -16.1
- offset from the most stable computed form (meV per atom) = 506.5
- Fermi-level density of states (states/eV per atom) = 0.979
- total magnetic moment (μB per formula unit) = 3.9


DFT (GGA-PBE) results for an optimized crystal structure of BaNiMo2.

Unit cell a=4.7535 b=4.7535 c=4.7535 alpha=60.00 beta=60.00 gamma=60.00
Positions (direct):
Ba1 0.0000 0.0000 0.0000
Ni1 0.7500 0.7500 0.7500
Mo1 0.2500 0.2500 0.2500
Mo2 0.5000 0.5000 0.5000

- ΔH_f (0 K) (eV/f.u.) = 4.4
- E_tot (eV per formula unit) = -24.9
- offset from the most stable computed form (meV per atom) = 566.4
- Fermi-level density of states (states/eV per atom) = 1.235
- total magnetic moment (μB per formula unit) = 0.5


DFT (GGA-PBE) results for an optimized crystal structure of BaNiMo.

Unit cell a=4.0671 b=4.0671 c=10.7294 alpha=90.00 beta=90.00 gamma=120.00
Positions (direct):
Ba1 0.0000 0.0000 0.0000
Ba2 0.0000 0.0000 0.5000
Ni1 0.3333 0.6667 0.2500
Ni2 0.6667 0.3333 0.7500
Mo1 0.3333 0.6667 0.7500
Mo2 0.6667 0.3333 0.2500

- ΔH_f (0 K) (eV/f.u.) = 2.0
- E_tot (eV per formula unit) = -16.5
- offset from the most stable computed form (meV per atom) = 353.8
- Fermi-level density of states (states/eV per atom) = 0.934
- total magnetic moment (μB per formula unit) = 0.0


DFT (GGA-PBE) results for an optimized crystal structure of Ba3NiMo.

Unit cell a=5.9702 b=5.9702 c=5.9702 alpha=90.00 beta=90.00 gamma=90.00
Positions (direct):
Ba1 0.0000 0.0000 0.5000
Ba2 0.0000 0.5000 0.0000
Ba3 0.5000 0.0000 0.0000
Ni1 0.0000 0.0000 0.0000
Mo1 0.5000 0.5000 0.5000

- ΔH_f (0 K) (eV/f.u.) = 4.1
- E_tot (eV per formula unit) = -18.3
- offset from the most stable computed form (meV per atom) = 0.0
- Fermi-level density of states (states/eV per atom) = 0.866
- total magnetic moment (μB per formula unit) = 4.7


DFT (GGA-PBE) results for an optimized crystal structure of BaNiMo.

Unit cell a=3.7830 b=3.9049 c=10.8808 alpha=85.99 beta=89.87 gamma=89.99
Positions (direct):
Ba1 0.0000 0.0000 0.0000
Ba2 0.4961 0.5309 0.6537
Ni1 0.4973 0.7639 0.3976
Ni2 0.9984 0.7640 0.2560
Mo1 0.4985 0.3045 0.2504
Mo2 0.9974 0.2237 0.4033

- ΔH_f (0 K) (eV/f.u.) = 1.1
- E_tot (eV per formula unit) = -17.5
- offset from the most stable computed form (meV per atom) = 48.8
- Fermi-level density of states (states/eV per atom) = 0.888
- total magnetic moment (μB per formula unit) = 0.0